The following is a DFT calculation (GGA-PBE) of a geometry-optimized YMnAs2 structure.

## Properties
The calculation puts the energy above the most stable polymorph in this dataset at 474 meV per atom. The calculation puts the calculated total energy at -25.83 eV per formula unit. The density of states at the Fermi level is 5.2 states/eV per cell. The calculated formation energy is -225 meV/atom. As for the volume: 284 Å³ per cell.

abc: 6.5760 6.5760 6.5760
angles: 90.00 90.00 90.00
Space group Fm-3m (No. 225)
Unique sites:
1 Y 0.0000 0.0000 0.0000 x4
2 Mn 0.0000 0.0000 0.5000 x4
3 As 0.2500 0.2500 0.2500 x8

=====

The following is a DFT calculation (GGA-PBE) of a geometry-optimized HfTi2Ag2 structure.

## Properties
The calculation puts the energy above the most stable polymorph in this dataset at 147 meV per atom. The calculation puts the calculated total energy at -29.68 eV per formula unit. The density of states at the Fermi level is 9.7 states/eV per cell. The calculated formation energy is 353 meV/atom. As for the volume: 197 Å³ per cell.

abc: 3.8906 3.8906 13.0077
angles: 90.00 90.00 90.00
Space group I4/mmm (No. 139)
Unique sites:
1 Hf 0.0000 0.0000 0.0000 x2
2 Ti 0.0000 0.0000 0.4045 x4
3 Ag 0.0000 0.5000 0.2500 x4

=====

The following is a DFT calculation (GGA-PBE) of a geometry-optimized LiCd2TeO6 structure.

## Properties
The calculation puts the calculated total energy at -47.72 eV per formula unit. The density of states at the Fermi level is 19.7 states/eV per cell. The uncorrected formation energy comes out at -1.11 eV/atom. As for the volume: 394 Å³ per cell.

abc: 5.5495 5.5495 14.7817
angles: 90.00 90.00 120.00
Space group R3 (No. 146, hexagonal axes)
Unique sites:
1 Li 0.0000 0.0000 0.0000 x3
2 Cd 0.0000 0.0000 0.2526 x3
3 Cd 0.0000 0.0000 0.7678 x3
4 Te 0.0000 0.0000 0.4644 x3
5 O 0.0206 0.3954 0.2024 x9
6 O 0.0681 0.6931 0.0483 x9

=====

The following is a DFT calculation (GGA-PBE) of a geometry-optimized Ho5As2C2 structure.

## Properties
The calculation puts the calculated total energy at -57.04 eV per formula unit. The density of states at the Fermi level is 20.8 states/eV per cell. The calculated formation energy is -711 meV/atom. As for the volume: 810 Å³ per cell.

abc: 17.1360 7.2666 6.5051
angles: 90.00 90.00 90.00
Space group Ima2 (No. 46)
Unique sites:
1 Ho 0.0230 0.2436 0.0000 x8
2 Ho 0.1411 0.5779 0.7755 x8
3 Ho 0.2500 0.1227 0.8212 x4
4 As 0.1039 0.5443 0.2291 x8
5 C 0.0000 0.0000 0.2461 x4
6 C 0.2500 0.0867 0.1774 x4

=====

The following is a DFT calculation (GGA-PBE) of a geometry-optimized RbSr structure.

## Properties
The calculation puts the calculated total energy at -2.28 eV per formula unit. The density of states at the Fermi level is 10.8 states/eV per cell. The calculated formation energy is 182 meV/atom. As for the volume: 820 Å³ per cell.

abc: 7.2959 12.6143 8.9069
angles: 90.00 90.00 90.00
Space group Imm2 (No. 44)
Unique sites:
1 Rb 0.0000 0.0000 0.0000 x2
2 Rb 0.0000 0.3372 0.7480 x4
3 Sr 0.0000 0.0000 0.5134 x2
4 Sr 0.0000 0.3373 0.2409 x4

=====

The following is a DFT calculation (GGA-PBE) of a geometry-optimized SrCoSeN2 structure.

## Properties
The calculation puts the energy above the most stable polymorph in this dataset at 0 meV per atom. The calculation puts the calculated total energy at -27.21 eV per formula unit. The density of states at the Fermi level is 2.7 states/eV per cell. The uncorrected formation energy comes out at 0.34 eV/atom. As for the volume: 81 Å³ per cell.

abc: 4.0065 4.0065 5.0342
angles: 90.00 90.00 90.00
Space group P4/mmm (No. 123)
Unique sites:
1 Sr 0.0000 0.0000 0.0000 x1
2 Co 0.5000 0.5000 0.5000 x1
3 Se 0.5000 0.5000 0.0000 x1
4 N 0.0000 0.5000 0.5000 x2